This record from Alexandria describes a geometry-optimized CaTaSbO2 structure. The functional is PBE.

Cell: 4.1132 7.3109 4.1132 Å, 90.00 90.00 90.00°
With the nearest neighbours (Å) after each atom.
Sites, in units of the cell vectors:
Ca: 0.0000 0.0000 0.0000  4 O 2.06
Sb: 0.5000 0.5000 0.5000  4 Ta 2.91
Ta: 0.0000 0.5000 0.0000  4 Sb 2.91
O: 0.0000 0.0000 0.5000  2 Ca 2.06
O: 0.5000 0.0000 0.0000  2 Ca 2.06

Computed properties:
Energy relative to the elements, uncorrected ... 0.2714 eV per atom
Energy ... -5.31 eV/atom
Space group ... P4/mmm (123)